## Y2NiIr (PBE)

Data for a geometry-optimized Y2NiIr structure.

Lattice parameters (Å, degrees): 4.154 3.889 10.475 90.00 90.00 90.00
Space group Amm2 (No. 38)
Asymmetric unit:
Y1 0.000 0.000 0.000 x2
Y2 0.500 0.000 0.286 x2
Ni1 0.500 0.000 0.569 x2
Ir1 0.000 0.000 0.716 x2

Output
**Density of states at the Fermi level**: 4.47 states/eV per cell
**Energy above the lowest structure with this stoichiometry**: 13.6 meV/atom
**DFT formation energy**: -0.639 eV per atom


## YNiIr2 (PBE)

Data for a geometry-optimized YNiIr2 structure.

Lattice parameters (Å, degrees): 4.011 4.011 8.181 90.00 90.00 90.00
Space group I4/mmm (No. 139)
Asymmetric unit:
Y1 0.000 0.000 0.000 x2
Ni1 0.000 0.000 0.500 x2
Ir1 0.000 0.500 0.250 x4

Output
**Density of states at the Fermi level**: 10.53 states/eV per cell
**Energy above the lowest structure with this stoichiometry**: 258.5 meV/atom
**DFT formation energy**: -0.160 eV per atom


## Y6NiIr5 (PBE)

Data for a geometry-optimized Y6NiIr5 structure.

Lattice parameters (Å, degrees): 4.782 14.356 7.072 90.00 90.00 90.00
Space group Cmmm (No. 65)
Asymmetric unit:
Y1 0.000 0.000 0.250 x4
Y2 0.000 0.333 0.249 x8
Ni1 0.000 0.500 0.000 x2
Ir1 0.000 0.165 0.000 x4
Ir2 0.000 0.167 0.500 x4
Ir3 0.000 0.500 0.500 x2

Output
**Density of states at the Fermi level**: 9.69 states/eV per cell
**DFT formation energy**: -0.728 eV per atom


## YNi2Ir (PBE)

Data for a geometry-optimized YNi2Ir structure.

Lattice parameters (Å, degrees): 4.090 4.090 7.345 90.00 90.00 90.00
Space group I4/mmm (No. 139)
Asymmetric unit:
Y1 0.000 0.000 0.000 x2
Ni1 0.000 0.500 0.250 x4
Ir1 0.000 0.000 0.500 x2

Output
**Density of states at the Fermi level**: 10.58 states/eV per cell
**Energy above the lowest structure with this stoichiometry**: 182.3 meV/atom
**DFT formation energy**: -0.211 eV per atom


## YNiIr2 (PBE)

Data for a geometry-optimized YNiIr2 structure.

Lattice parameters (Å, degrees): 2.8613 2.8613 27.4505 90.00 90.00 120.00
Space group R3m (No. 160, hexagonal axes)
Asymmetric unit:
Y1 0.0000 0.0000 0.0000 x3
Ni1 0.0000 0.0000 0.2447 x3
Ir1 0.0000 0.0000 0.5053 x3
Ir2 0.0000 0.0000 0.7601 x3

Output
**Density of states at the Fermi level**: 16.18 states/eV per cell
**Energy above the lowest structure with this stoichiometry**: 747.3 meV/atom
**DFT formation energy**: 0.329 eV per atom


## Y2NiIr (PBE)

Data for a geometry-optimized Y2NiIr structure.

Lattice parameters (Å, degrees): 6.837 6.837 6.837 90.00 90.00 90.00
Space group Fm-3m (No. 225)
Asymmetric unit:
Y1 0.250 0.250 0.250 x8
Ni1 0.000 0.000 0.000 x4
Ir1 0.000 0.000 0.500 x4

Output
**Density of states at the Fermi level**: 9.98 states/eV per cell
**Energy above the lowest structure with this stoichiometry**: 30.5 meV/atom
**DFT formation energy**: -0.622 eV per atom


## Y2NiIr (PBE)

Data for a geometry-optimized Y2NiIr structure.

Lattice parameters (Å, degrees): 4.805 4.805 3.464 90.00 90.00 90.00
Space group P4/mmm (No. 123)
Asymmetric unit:
Y1 0.000 0.500 0.000 x2
Ni1 0.000 0.000 0.500 x1
Ir1 0.500 0.500 0.500 x1

Output
**Density of states at the Fermi level**: 2.62 states/eV per cell
**Energy above the lowest structure with this stoichiometry**: 54.1 meV/atom
**DFT formation energy**: -0.599 eV per atom


## YNiIr2 (PBE)

Data for a geometry-optimized YNiIr2 structure.

Lattice parameters (Å, degrees): 3.982 3.982 4.067 90.00 90.00 90.00
Space group P4/mmm (No. 123)
Asymmetric unit:
Y1 0.000 0.000 0.000 x1
Ni1 0.500 0.500 0.000 x1
Ir1 0.000 0.500 0.500 x2

Output
**Density of states at the Fermi level**: 4.49 states/eV per cell
**Energy above the lowest structure with this stoichiometry**: 111.3 meV/atom
**DFT formation energy**: -0.307 eV per atom